A plane-wave DFT calculation with PBE-GGA was carried out for a geometry-optimized MnFeAs structure.

The calculation puts the total moment at 0.662 μB/atom. The value obtained for the density of states at the Fermi level is 1.02 states/eV per atom. As for the total energy: -7.403 eV/atom. The crystal system is cubic.

The structure belongs to space group F-43m (No. 216); the cell edges are 5.509, 5.509 and 5.509 Å and the angles 90.00°, 90.00° and 90.00°. The distinct sites, in fractional coordinates, are Mn at (0.000, 0.000, 0.000), Fe at (0.250, 0.250, 0.750) and As at (0.250, 0.250, 0.250).

=====

A plane-wave DFT calculation with PBE-GGA was carried out for a geometry-optimized Dy5Ag3 structure.

The calculation puts the total moment at 0.089 μB/atom. The value obtained for the density of states at the Fermi level is 1.00 states/eV per atom. As for the total energy: -4.161 eV/atom. The crystal system is tetragonal.

The structure belongs to space group P4/mmm (No. 123); the cell edges are 3.596, 3.596 and 16.175 Å and the angles 90.00°, 90.00° and 90.00°. The distinct sites, in fractional coordinates, are Dy at (0.000, 0.000, 0.000), Dy at (0.000, 0.000, 0.228), Dy at (0.500, 0.500, 0.384), Ag at (0.000, 0.000, 0.500) and Ag at (0.500, 0.500, 0.113).

=====

A plane-wave DFT calculation with PBE-GGA was carried out for a geometry-optimized LaMn2AgSe4 structure.

The calculation puts the total moment at 1.249 μB/atom. The value obtained for the density of states at the Fermi level is 0.04 states/eV per atom. As for the total energy: -5.752 eV/atom. Its uncorrected formation energy is -0.745 eV per atom. The crystal system is orthorhombic.

The structure belongs to space group Cmcm (No. 63); the cell edges are 4.116, 13.619 and 13.279 Å and the angles 90.00°, 90.00° and 90.00°. The distinct sites, in fractional coordinates, are La at (0.000, 0.128, 0.250), Mn at (0.000, 0.381, 0.061), Ag at (0.000, 0.148, 0.750), Se at (0.000, 0.000, 0.000), Se at (0.000, 0.280, 0.607) and Se at (0.000, 0.466, 0.250).